1.
First-principles (PBE-GGA) data for Tm2Sc3Ga4 after structural relaxation, as listed in Alexandria.

Calculated values
As for the density: 6.3 Mg/m³. As for the symmetry: No. 64. The value obtained for the electronic total energy is -4.890 eV/atom. As for the magnetic moment: 0.000 μB per atom.

a b c (Å): 8.2111 8.2111 8.1784
angles (deg): 90.00 90.00 134.01
Atoms (fractional coordinates):
Tm 0.1108 0.8892 0.9176
Tm 0.3892 0.6108 0.4176
Tm 0.6108 0.3892 0.5824
Tm 0.8892 0.1108 0.0824
Sc 0.0000 0.0000 0.5000
Sc 0.0379 0.4621 0.7500
Sc 0.4621 0.0379 0.2500
Sc 0.5000 0.5000 0.0000
Sc 0.5379 0.9621 0.7500
Sc 0.9621 0.5379 0.2500
Ga 0.1872 0.8128 0.5440
Ga 0.2185 0.2815 0.7500
Ga 0.2815 0.2185 0.2500
Ga 0.3128 0.6872 0.0440
Ga 0.6872 0.3128 0.9560
Ga 0.7185 0.7815 0.7500
Ga 0.7815 0.7185 0.2500
Ga 0.8128 0.1872 0.4560



2.
First-principles (PBE-GGA) data for Sm4Ga2Bi after structural relaxation, as listed in Alexandria.

Calculated values
As for the density: 7.1 Mg/m³. As for the symmetry: No. 15. The value obtained for the electronic total energy is -4.536 eV/atom. As for the magnetic moment: 0.000 μB per atom.

a b c (Å): 8.3276 8.3276 8.3122
angles (deg): 109.12 109.12 110.14
Atoms (fractional coordinates):
Sm 0.1246 0.6969 0.9285
Sm 0.2320 0.3038 0.4285
Sm 0.3031 0.8754 0.5715
Sm 0.3038 0.2320 0.9285
Sm 0.6962 0.7680 0.0715
Sm 0.6969 0.1246 0.4285
Sm 0.7680 0.6962 0.5715
Sm 0.8754 0.3031 0.0715
Ga 0.0000 0.0000 0.0000
Ga 0.0000 0.0000 0.5000
Ga 0.0000 0.5000 0.5000
Ga 0.5000 0.0000 0.0000
Bi 0.3752 0.6248 0.2500
Bi 0.6248 0.3752 0.7500



3.
First-principles (PBE-GGA) data for CsCaI3 after structural relaxation, as listed in Alexandria.

Calculated values
As for the density: 3.9 Mg/m³. As for the symmetry: No. 62. As for the energy relative to the elements, uncorrected: -1.6005 eV per atom. As for the magnetic moment: 0.000 μB per atom.

a b c (Å): 8.8148 12.3759 8.6637
angles (deg): 90.00 90.00 90.00
Atoms (fractional coordinates):
Cs 0.0486 0.2500 0.0129
Cs 0.4514 0.7500 0.5129
Cs 0.5486 0.2500 0.4871
Cs 0.9514 0.7500 0.9871
Ca 0.0000 0.0000 0.5000
Ca 0.0000 0.5000 0.5000
Ca 0.5000 0.0000 0.0000
Ca 0.5000 0.5000 0.0000
I 0.0057 0.7500 0.4395
I 0.2120 0.5310 0.7889
I 0.2120 0.9690 0.7889
I 0.2880 0.0310 0.2889
I 0.2880 0.4690 0.2889
I 0.4943 0.2500 0.9395
I 0.5057 0.7500 0.0605
I 0.7120 0.5310 0.7111
I 0.7120 0.9690 0.7111
I 0.7880 0.0310 0.2111
I 0.7880 0.4690 0.2111
I 0.9943 0.2500 0.5605



4.
First-principles (PBE-GGA) data for K2Na2Hg after structural relaxation, as listed in Alexandria.

Calculated values
As for the density: 2.3 Mg/m³. As for the symmetry: No. 141. The value obtained for the electronic total energy is -1.086 eV/atom. As for the magnetic moment: 0.000 μB per atom.

a b c (Å): 14.4810 14.4810 14.4810
angles (deg): 157.08 157.08 32.64
Atoms (fractional coordinates):
K 0.0579 0.3079 0.7500
K 0.3079 0.0579 0.2500
K 0.6921 0.9421 0.7500
K 0.9421 0.6921 0.2500
Na 0.1965 0.4465 0.7500
Na 0.4465 0.1965 0.2500
Na 0.5535 0.8035 0.7500
Na 0.8035 0.5535 0.2500
Hg 0.3750 0.6250 0.7500
Hg 0.6250 0.3750 0.2500



5.
First-principles (PBE-GGA) data for Pr4NdSb2 after structural relaxation, as listed in Alexandria.

Calculated values
As for the density: 6.2 Mg/m³. As for the symmetry: No. 139. As for the energy relative to the elements, uncorrected: 0.1005 eV per atom. As for the magnetic moment: 0.113 μB per atom.

a b c (Å): 9.3701 9.3701 9.3701
angles (deg): 146.05 146.05 48.78
Atoms (fractional coordinates):
Pr 0.0000 0.5000 0.5000
Pr 0.1837 0.1837 0.0000
Pr 0.5000 0.0000 0.5000
Pr 0.8163 0.8163 0.0000
Nd 0.0000 0.0000 0.0000
Sb 0.3670 0.3670 0.0000
Sb 0.6330 0.6330 0.0000



6.
First-principles (PBE-GGA) data for Na8Tl3In3 after structural relaxation, as listed in Alexandria.

Calculated values
As for the density: 4.5 Mg/m³. As for the symmetry: No. 71. The value obtained for the electronic total energy is -1.889 eV/atom. As for the magnetic moment: 0.000 μB per atom.

a b c (Å): 9.3102 9.3102 9.3102
angles (deg): 147.41 96.97 92.07
Atoms (fractional coordinates):
Na 0.0013 0.1254 0.8758
Na 0.1451 0.3626 0.7825
Na 0.2496 0.1254 0.1242
Na 0.4198 0.6374 0.7825
Na 0.5802 0.3626 0.2175
Na 0.7504 0.8746 0.8758
Na 0.8549 0.6374 0.2175
Na 0.9987 0.8746 0.1242
Tl 0.0000 0.5000 0.5000
Tl 0.2731 0.7731 0.5000
Tl 0.7269 0.2269 0.5000
In 0.3643 0.0000 0.3643
In 0.5000 0.5000 0.0000
In 0.6357 0.0000 0.6357



7.
First-principles (PBE-GGA) data for Th8Te4PtC3 after structural relaxation, as listed in Alexandria.

Calculated values
As for the density: 10.3 Mg/m³. As for the symmetry: No. 166. As for the energy relative to the elements, uncorrected: -0.8472 eV per atom. As for the magnetic moment: 0.000 μB per atom.

a b c (Å): 8.7635 8.7635 8.7635
angles (deg): 54.93 54.93 54.93
Atoms (fractional coordinates):
Th 0.2074 0.7422 0.7422
Th 0.2291 0.2291 0.2291
Th 0.2578 0.2578 0.7926
Th 0.2578 0.7926 0.2578
Th 0.7422 0.2074 0.7422
Th 0.7422 0.7422 0.2074
Th 0.7709 0.7709 0.7709
Th 0.7926 0.2578 0.2578
Te 0.0000 0.0000 0.0000
Te 0.0000 0.5000 0.5000
Te 0.5000 0.0000 0.5000
Te 0.5000 0.5000 0.0000
Pt 0.5000 0.5000 0.5000
C 0.0000 0.0000 0.5000
C 0.0000 0.5000 0.0000
C 0.5000 0.0000 0.0000



8.
First-principles (PBE-GGA) data for FeTeAs2 after structural relaxation, as listed in Alexandria.

Calculated values
As for the density: 7.2 Mg/m³. As for the symmetry: No. 216. As for the energy relative to the elements, uncorrected: 0.5562 eV per atom. As for the magnetic moment: 0.650 μB per atom.

a b c (Å): 4.7659 4.7659 4.7659
angles (deg): 60.00 60.00 60.00
Atoms (fractional coordinates):
Fe 0.0000 0.0000 0.0000
Te 0.7500 0.7500 0.7500
As 0.2500 0.2500 0.2500
As 0.5000 0.5000 0.5000



Question: The highest magnetic moment belongs to which entry?
Answer: FeTeAs2